1.
## RePd2W (PBE)

Data for RePd2W after structural relaxation.

Results
Fermi-level density of states: 30.13 states/eV/cell
Offset from the most stable computed form: 0 meV per atom
Formation energy: 629 meV per atom

Cell lengths 6.2886, 6.2886, 6.2886 Å; angles 90.00, 90.00, 90.00 degrees
Space group Fm-3m (No. 225)
One atom of each set of equivalent atoms:
Re  0.0000  0.0000  0.0000 [4 per cell]
Pd  0.2500  0.2500  0.2500 [8 per cell]
W  0.0000  0.0000  0.5000 [4 per cell]

2.
## FeHPtAu2 (PBE)

Data for FeHPtAu2 after structural relaxation.

Results
Fermi-level density of states: 5.27 states/eV/cell
VASP energy: -21.99 eV/cell

Cell lengths 5.0047, 5.0047, 2.9792 Å; angles 90.00, 90.00, 90.00 degrees
Space group P4/mmm (No. 123)
One atom of each set of equivalent atoms:
Fe  0.0000  0.0000  0.0000 [1 per cell]
H  0.0000  0.0000  0.5000 [1 per cell]
Pt  0.5000  0.5000  0.5000 [1 per cell]
Au  0.0000  0.5000  0.0000 [2 per cell]

3.
## CaIr2Os (PBE)

Data for CaIr2Os after structural relaxation.

Results
Fermi-level density of states: 5.39 states/eV/cell
Offset from the most stable computed form: 113 meV per atom
Formation energy: 136 meV per atom

Cell lengths 5.7643, 7.9589, 2.7905 Å; angles 90.00, 90.00, 90.00 degrees
Space group Cmmm (No. 65)
One atom of each set of equivalent atoms:
Ca  0.0000  0.0000  0.0000 [2 per cell]
Ir  0.2500  0.2500  0.5000 [4 per cell]
Os  0.0000  0.5000  0.0000 [2 per cell]

Number 1: volume 15.5 Å³/atom. Number 2: volume 14.9 Å³/atom. Number 3: volume 16.0 Å³/atom.